Entry 1:
Density functional theory data (SCAN) for a crystal of BSbTeI2 relaxed with PBEsol.

Unit cell a=4.927 b=4.927 c=5.068 alpha=90.00 beta=90.00 gamma=90.00
Sites, in units of the cell vectors:
Te1 0.000 0.000 0.500
B1 0.000 0.000 0.000
I1 0.500 0.000 0.000
I2 0.000 0.500 0.000
Sb1 0.500 0.500 0.500

symmetry	P4/mmm (123)
uncorrected formation energy	0.803	eV/atom
M_tot	0.00	μB/cell
uncorrected energy	-30.282	eV per atom


Entry 2:
Density functional theory data (SCAN) for a crystal of BSb2WI relaxed with PBEsol.

Unit cell a=5.112 b=5.112 c=5.706 alpha=90.00 beta=90.00 gamma=90.00
Site moments in Bohr magnetons follow the coordinates.
Sites, in units of the cell vectors:
B1 0.500 0.500 0.500  0.22
Sb1 0.000 0.500 0.000  -0.07
Sb2 0.500 0.000 0.000  -0.07
W1 0.000 0.000 0.000  0.81
I1 0.000 0.000 0.500  -0.03

symmetry	P4/mmm (123)
uncorrected formation energy	1.647	eV/atom
M_tot	1.23	μB/cell
uncorrected energy	-36.029	eV per atom


Entry 3:
Density functional theory data (SCAN) for a crystal of YBSb2I relaxed with PBEsol.

Unit cell a=5.755 b=5.755 c=5.773 alpha=90.00 beta=90.00 gamma=90.00
Site moments in Bohr magnetons follow the coordinates.
Sites, in units of the cell vectors:
B1 0.500 0.500 0.500  0.06
Sb1 0.500 0.000 0.000  -0.16
Sb2 0.000 0.500 0.000  -0.16
Y1 0.000 0.000 0.000  0.00
I1 0.000 0.000 0.500  -0.10

symmetry	P4/mmm (123)
uncorrected formation energy	1.068	eV/atom
M_tot	0.82	μB/cell
uncorrected energy	-28.239	eV per atom


Entry 4:
Density functional theory data (SCAN) for a crystal of ScBI3 relaxed with PBEsol.

Unit cell a=5.021 b=5.021 c=5.021 alpha=90.00 beta=90.00 gamma=90.00
Site moments in Bohr magnetons follow the coordinates.
Sites, in units of the cell vectors:
I1 0.000 0.500 0.000  -0.02
B1 0.000 0.000 0.000  0.00
Sc1 0.500 0.500 0.500  0.84
I2 0.500 0.000 0.000  -0.02
I3 0.000 0.000 0.500  -0.02

symmetry	Pm-3m (221)
uncorrected formation energy	0.508	eV/atom
M_tot	1.11	μB/cell
uncorrected energy	-25.870	eV per atom


Entry 5:
Density functional theory data (SCAN) for a crystal of Sc3BI relaxed with PBEsol.

Unit cell a=5.130 b=5.130 c=5.130 alpha=90.00 beta=90.00 gamma=90.00
Sites, in units of the cell vectors:
I1 0.000 0.000 0.000
Sc1 0.500 0.000 0.000
Sc2 0.000 0.000 0.500
Sc3 0.000 0.500 0.000
B1 0.500 0.500 0.500

symmetry	Pm-3m (221)
uncorrected formation energy	1.278	eV/atom
M_tot	0.00	μB/cell
uncorrected energy	-16.099	eV per atom


Entry 6:
Density functional theory data (SCAN) for a crystal of ScBTe2I relaxed with PBEsol.

Unit cell a=4.862 b=4.862 c=4.950 alpha=90.00 beta=90.00 gamma=90.00
Sites, in units of the cell vectors:
B1 0.000 0.000 0.000
Te1 0.000 0.500 0.000
I1 0.000 0.000 0.500
Sc1 0.500 0.500 0.500
Te2 0.500 0.000 0.000

symmetry	P4/mmm (123)
uncorrected formation energy	0.350	eV/atom
M_tot	0.00	μB/cell
uncorrected energy	-26.232	eV per atom


> M_tot of number 1 (BSbTeI2)?

0.00 μB/cell


> The lowest uncorrected energy belongs to which entry?

BSb2WI